# 1
{
  "formula": "Bi3OsF",
  "functional": "PBEsol",
  "state": "relaxed",
  "cell": [[5.260, 0.000, 0.000], [0.000, 5.260, 0.000], [0.000, 0.000, 5.260]],
  "species": ["Bi", "Bi", "Bi", "Os", "F"],
  "frac_coords": [[0.000, 0.000, 0.500], [0.000, 0.500, 0.000], [0.500, 0.000, 0.000], [0.000, 0.000, 0.000], [0.500, 0.500, 0.500]],
  "raw_formation_energy_ev_per_atom": 0.4722,
  "m_tot_mub_per_fu": 0.0,
  "spacegroup": "No. 221",
  "final_energy_ev_per_cell": -24.6,
  "volume_a3_per_fu": 146
}

# 2
{
  "formula": "ZrAl2PdAu",
  "functional": "PBEsol",
  "state": "relaxed",
  "cell": [[5.119, 0.000, 0.000], [0.000, 5.119, 0.000], [0.000, 0.000, 4.897]],
  "species": ["Zr", "Al", "Al", "Pd", "Au"],
  "frac_coords": [[0.000, 0.000, 0.000], [0.000, 0.500, 0.000], [0.500, 0.000, 0.000], [0.500, 0.500, 0.500], [0.000, 0.000, 0.500]],
  "formation_enthalpy_0k_ev_per_atom": 1.1993,
  "m_tot_mub_per_fu": 0.0,
  "spacegroup": "No. 123",
  "final_energy_ev_per_cell": -21.2,
  "volume_a3_per_fu": 128
}

# 3
{
  "formula": "ZrCrTc2",
  "functional": "PBEsol",
  "state": "relaxed",
  "cell": [[2.766, 0.000, 0.000], [0.000, 4.282, 0.000], [-0.968, 0.000, 5.025]],
  "species": ["Zr", "Cr", "Tc", "Tc"],
  "frac_coords": [[0.000, 0.000, 0.000], [0.752, 0.500, 0.271], [0.234, 0.500, 0.731], [0.513, 0.000, 0.492]],
  "formation_enthalpy_0k_ev_per_atom": 0.0829,
  "m_tot_mub_per_fu": 0.0,
  "spacegroup": "No. 6",
  "final_energy_ev_per_cell": -41.5,
  "volume_a3_per_fu": 60
}

# 4
{
  "formula": "BaAg2Te",
  "functional": "PBEsol",
  "state": "relaxed",
  "cell": [[0.000, 3.788, 3.788], [3.788, 0.000, 3.788], [3.788, 3.788, 0.000]],
  "species": ["Ba", "Ag", "Ag", "Te"],
  "frac_coords": [[0.000, 0.000, 0.000], [0.250, 0.250, 0.250], [0.500, 0.500, 0.500], [0.750, 0.750, 0.750]],
  "raw_formation_energy_ev_per_atom": -0.2799,
  "m_tot_mub_per_fu": 0.0,
  "spacegroup": "No. 216",
  "final_energy_ev_per_cell": -13.4,
  "volume_a3_per_fu": 109
}

# 5
{
  "formula": "ZrInAs2",
  "functional": "PBEsol",
  "state": "relaxed",
  "cell": [[3.821, 0.000, 0.000], [0.000, 3.821, 0.000], [0.000, 0.000, 5.760]],
  "species": ["Zr", "In", "As", "As"],
  "frac_coords": [[0.000, 0.000, 0.000], [0.500, 0.500, 0.606], [0.000, 0.000, 0.502], [0.500, 0.500, 0.075]],
  "formation_enthalpy_0k_ev_per_atom": -0.5156,
  "m_tot_mub_per_fu": 0.0,
  "spacegroup": "No. 99",
  "final_energy_ev_per_cell": -24.3,
  "volume_a3_per_fu": 84
}

# 6
{
  "formula": "MgScCd2",
  "functional": "PBEsol",
  "state": "relaxed",
  "cell": [[4.781, 0.000, 0.000], [0.000, 4.781, 0.000], [0.000, 0.000, 3.640]],
  "species": ["Mg", "Sc", "Cd", "Cd"],
  "frac_coords": [[0.000, 0.000, 0.000], [0.500, 0.500, 0.000], [0.000, 0.500, 0.500], [0.500, 0.000, 0.500]],
  "formation_enthalpy_0k_ev_per_atom": -0.2613,
  "m_tot_mub_per_fu": 0.0,
  "spacegroup": "No. 123",
  "final_energy_ev_per_cell": -11.8,
  "volume_a3_per_fu": 83
}

# 7
{
  "formula": "CrAs2Cl",
  "functional": "PBEsol",
  "state": "relaxed",
  "cell": [[4.870, 0.000, 0.000], [0.000, 4.870, 0.000], [0.000, 0.000, 2.905]],
  "species": ["Cr", "As", "As", "Cl"],
  "frac_coords": [[0.000, 0.000, 0.000], [0.000, 0.500, 0.500], [0.500, 0.000, 0.500], [0.500, 0.500, 0.000]],
  "raw_formation_energy_ev_per_atom": 0.4368,
  "m_tot_mub_per_fu": 3.7,
  "spacegroup": "No. 123",
  "final_energy_ev_per_cell": -20.7,
  "volume_a3_per_fu": 69
}

# 8
{
  "formula": "LiLa3Cu",
  "functional": "PBEsol",
  "state": "relaxed",
  "cell": [[5.196, 0.000, 0.000], [0.000, 5.196, 0.000], [0.000, 0.000, 5.196]],
  "species": ["Li", "La", "La", "La", "Cu"],
  "frac_coords": [[0.000, 0.000, 0.000], [0.000, 0.000, 0.500], [0.000, 0.500, 0.000], [0.500, 0.000, 0.000], [0.500, 0.500, 0.500]],
  "formation_enthalpy_0k_ev_per_atom": 0.6972,
  "m_tot_mub_per_fu": 0.0,
  "spacegroup": "No. 221",
  "final_energy_ev_per_cell": -18.9,
  "volume_a3_per_fu": 140
}

# 9
{
  "formula": "BiPd2S",
  "functional": "PBEsol",
  "state": "relaxed",
  "cell": [[-2.409, 2.409, 7.229], [2.409, -2.409, 7.229], [2.409, 2.409, -7.229]],
  "species": ["Bi", "Bi", "Pd", "Pd", "Pd", "Pd", "S", "S"],
  "frac_coords": [[0.000, 0.000, 0.000], [0.750, 0.250, 0.500], [0.242, 0.625, 0.117], [0.375, 0.492, 0.617], [0.508, 0.125, 0.883], [0.875, 0.758, 0.383], [0.250, 0.750, 0.500], [0.500, 0.500, 0.000]],
  "raw_formation_energy_ev_per_atom": -0.2394,
  "m_tot_mub_per_fu": 0.0,
  "spacegroup": "No. 122",
  "final_energy_ev_per_cell": -43.1,
  "volume_a3_per_fu": 84
}

# 10
{
  "formula": "LaMo2Br",
  "functional": "PBEsol",
  "state": "relaxed",
  "cell": [[3.236, 0.000, 0.000], [0.000, 1.647, 7.879], [0.000, -1.647, 7.879]],
  "species": ["La", "Mo", "Mo", "Br"],
  "frac_coords": [[0.000, 0.000, 0.000], [0.000, 0.784, 0.784], [0.500, 0.364, 0.364], [0.500, 0.641, 0.641]],
  "raw_formation_energy_ev_per_atom": -0.0271,
  "m_tot_mub_per_fu": 0.0,
  "spacegroup": "No. 38",
  "final_energy_ev_per_cell": -30.9,
  "volume_a3_per_fu": 84
}

# 11
{
  "formula": "H8PdC2NCl3",
  "functional": "PBEsol",
  "state": "relaxed",
  "cell": [[3.895, -6.552, 0.000], [3.895, 6.552, 0.000], [-0.076, 0.000, 7.112]],
  "species": ["H", "H", "H", "H", "H", "H", "H", "H", "H", "H", "H", "H", "H", "H", "H", "H", "Pd", "Pd", "C", "C", "C", "C", "N", "N", "Cl", "Cl", "Cl", "Cl", "Cl", "Cl"],
  "frac_coords": [[0.007, 0.172, 0.319], [0.012, 0.294, 0.009], [0.063, 0.578, 0.820], [0.172, 0.007, 0.819], [0.227, 0.752, 0.533], [0.248, 0.773, 0.967], [0.294, 0.012, 0.509], [0.422, 0.937, 0.680], [0.578, 0.063, 0.320], [0.706, 0.988, 0.491], [0.752, 0.227, 0.033], [0.773, 0.248, 0.467], [0.828, 0.993, 0.181], [0.937, 0.422, 0.180], [0.988, 0.706, 0.991], [0.993, 0.828, 0.681], [0.500, 0.500, 0.000], [0.500, 0.500, 0.500], [0.105, 0.721, 0.893], [0.279, 0.895, 0.607], [0.721, 0.105, 0.393], [0.895, 0.279, 0.107], [0.129, 0.871, 0.750], [0.871, 0.129, 0.250], [0.176, 0.312, 0.596], [0.312, 0.176, 0.096], [0.391, 0.609, 0.250], [0.609, 0.391, 0.750], [0.688, 0.824, 0.904], [0.824, 0.688, 0.404]],
  "m_tot_mub_per_fu": 0.0,
  "spacegroup": "No. 15",
  "final_energy_ev_per_cell": -143.9,
  "volume_a3_per_fu": 181
}

# 12
{
  "formula": "MnCu2Ir",
  "functional": "PBEsol",
  "state": "relaxed",
  "cell": [[2.561, 0.000, 0.000], [0.000, 4.368, 0.000], [-0.235, 0.000, 4.491]],
  "species": ["Mn", "Cu", "Cu", "Ir"],
  "frac_coords": [[0.000, 0.000, 0.000], [0.234, 0.500, 0.754], [0.766, 0.500, 0.246], [0.500, 0.000, 0.500]],
  "formation_enthalpy_0k_ev_per_atom": 0.1911,
  "m_tot_mub_per_fu": 3.3,
  "spacegroup": "No. 10",
  "final_energy_ev_per_cell": -27.5,
  "volume_a3_per_fu": 50
}

# 13
{
  "formula": "InRuCl2",
  "functional": "PBEsol",
  "state": "relaxed",
  "cell": [[0.000, 3.331, 3.331], [3.331, 0.000, 3.331], [3.331, 3.331, 0.000]],
  "species": ["In", "Ru", "Cl", "Cl"],
  "frac_coords": [[0.000, 0.000, 0.000], [0.750, 0.750, 0.750], [0.250, 0.250, 0.250], [0.500, 0.500, 0.500]],
  "raw_formation_energy_ev_per_atom": 0.5385,
  "m_tot_mub_per_fu": 1.5,
  "spacegroup": "No. 216",
  "final_energy_ev_per_cell": -15.0,
  "volume_a3_per_fu": 74
}

# 14
{
  "formula": "Cu2PbSe3O9",
  "functional": "PBEsol",
  "state": "relaxed",
  "cell": [[7.743, 0.000, 0.000], [0.031, 9.142, 0.000], [3.657, 1.574, 11.832]],
  "species": ["Cu", "Cu", "Cu", "Cu", "Cu", "Cu", "Cu", "Cu", "Pb", "Pb", "Pb", "Pb", "Se", "Se", "Se", "Se", "Se", "Se", "Se", "Se", "Se", "Se", "Se", "Se", "O", "O", "O", "O", "O", "O", "O", "O", "O", "O", "O", "O", "O", "O", "O", "O", "O", "O", "O", "O", "O", "O", "O", "O", "O", "O", "O", "O", "O", "O", "O", "O", "O", "O", "O", "O"],
  "frac_coords": [[0.056, 0.066, 0.297], [0.120, 0.673, 0.303], [0.277, 0.672, 0.037], [0.334, 0.258, 0.989], [0.666, 0.742, 0.011], [0.723, 0.328, 0.963], [0.880, 0.327, 0.697], [0.944, 0.934, 0.703], [0.378, 0.843, 0.652], [0.445, 0.357, 0.657], [0.555, 0.643, 0.343], [0.622, 0.157, 0.348], [0.052, 0.124, 0.873], [0.069, 0.618, 0.871], [0.134, 0.594, 0.555], [0.172, 0.129, 0.507], [0.370, 0.397, 0.199], [0.415, 0.953, 0.172], [0.585, 0.047, 0.828], [0.630, 0.603, 0.801], [0.828, 0.871, 0.493], [0.866, 0.406, 0.445], [0.931, 0.382, 0.129], [0.948, 0.876, 0.127], [0.063, 0.721, 0.747], [0.070, 0.722, 0.160], [0.118, 0.062, 0.744], [0.122, 0.422, 0.634], [0.131, 0.938, 0.557], [0.152, 0.753, 0.931], [0.159, 0.401, 0.050], [0.193, 0.544, 0.417], [0.228, 0.047, 0.153], [0.243, 0.127, 0.362], [0.256, 0.212, 0.861], [0.317, 0.818, 0.287], [0.352, 0.643, 0.548], [0.379, 0.153, 0.527], [0.380, 0.584, 0.156], [0.454, 0.860, 0.057], [0.460, 0.602, 0.738], [0.485, 0.322, 0.077], [0.515, 0.678, 0.923], [0.540, 0.398, 0.262], [0.546, 0.140, 0.943], [0.620, 0.416, 0.844], [0.621, 0.847, 0.473], [0.648, 0.357, 0.452], [0.683, 0.182, 0.713], [0.744, 0.788, 0.139], [0.757, 0.873, 0.638], [0.772, 0.953, 0.847], [0.807, 0.456, 0.583], [0.841, 0.599, 0.950], [0.848, 0.247, 0.069], [0.869, 0.062, 0.443], [0.878, 0.578, 0.366], [0.882, 0.938, 0.256], [0.930, 0.278, 0.840], [0.937, 0.279, 0.253]],
  "raw_formation_energy_ev_per_atom": -0.7870,
  "m_tot_mub_per_fu": 2.0,
  "spacegroup": "No. 2",
  "final_energy_ev_per_cell": -333.1,
  "volume_a3_per_fu": 209
}

# 15
{
  "formula": "ZnSe3",
  "functional": "PBEsol",
  "state": "relaxed",
  "cell": [[-1.767, 1.788, 7.392], [1.767, -1.788, 7.392], [1.767, 1.788, -7.392]],
  "species": ["Zn", "Se", "Se", "Se"],
  "frac_coords": [[0.000, 0.000, 0.000], [0.225, 0.725, 0.500], [0.500, 0.500, 0.000], [0.775, 0.275, 0.500]],
  "raw_formation_energy_ev_per_atom": 0.0161,
  "m_tot_mub_per_fu": 0.0,
  "spacegroup": "No. 71",
  "final_energy_ev_per_cell": -13.1,
  "volume_a3_per_fu": 93
}

# 16
{
  "formula": "PaBr5",
  "functional": "PBEsol",
  "state": "relaxed",
  "cell": [[7.550, 0.000, 0.000], [0.000, 11.556, 0.000], [-0.149, 0.000, 12.548]],
  "species": ["Pa", "Pa", "Pa", "Pa", "Br", "Br", "Br", "Br", "Br", "Br", "Br", "Br", "Br", "Br", "Br", "Br", "Br", "Br", "Br", "Br", "Br", "Br", "Br", "Br"],
  "frac_coords": [[0.084, 0.137, 0.392], [0.084, 0.363, 0.892], [0.916, 0.637, 0.108], [0.916, 0.863, 0.608], [0.048, 0.137, 0.905], [0.048, 0.363, 0.405], [0.096, 0.610, 0.911], [0.096, 0.890, 0.411], [0.227, 0.613, 0.204], [0.227, 0.887, 0.704], [0.255, 0.122, 0.211], [0.255, 0.378, 0.711], [0.382, 0.143, 0.503], [0.382, 0.357, 0.003], [0.618, 0.643, 0.997], [0.618, 0.857, 0.497], [0.745, 0.622, 0.289], [0.745, 0.878, 0.789], [0.773, 0.113, 0.296], [0.773, 0.387, 0.796], [0.904, 0.110, 0.589], [0.904, 0.390, 0.089], [0.952, 0.637, 0.595], [0.952, 0.863, 0.095]],
  "raw_formation_energy_ev_per_atom": -1.3468,
  "m_tot_mub_per_fu": 0.0,
  "spacegroup": "No. 14",
  "final_energy_ev_per_cell": -110.6,
  "volume_a3_per_fu": 274
}

# 17
{
  "formula": "HfSBr3",
  "functional": "PBEsol",
  "state": "relaxed",
  "cell": [[5.149, 0.000, 0.000], [0.000, 5.149, 0.000], [0.000, 0.000, 5.149]],
  "species": ["Hf", "S", "Br", "Br", "Br"],
  "frac_coords": [[0.000, 0.000, 0.000], [0.500, 0.500, 0.500], [0.000, 0.000, 0.500], [0.000, 0.500, 0.000], [0.500, 0.000, 0.000]],
  "raw_formation_energy_ev_per_atom": -0.3108,
  "m_tot_mub_per_fu": 1.5,
  "spacegroup": "No. 221",
  "final_energy_ev_per_cell": -22.1,
  "volume_a3_per_fu": 137
}

# 18
{
  "formula": "Co2ReTe",
  "functional": "PBEsol",
  "state": "relaxed",
  "cell": [[0.000, 3.020, 3.020], [3.020, 0.000, 3.020], [3.020, 3.020, 0.000]],
  "species": ["Co", "Co", "Re", "Te"],
  "frac_coords": [[0.000, 0.000, 0.000], [0.250, 0.250, 0.250], [0.500, 0.500, 0.500], [0.750, 0.750, 0.750]],
  "raw_formation_energy_ev_per_atom": 0.5123,
  "m_tot_mub_per_fu": 2.0,
  "spacegroup": "No. 216",
  "final_energy_ev_per_cell": -30.3,
  "volume_a3_per_fu": 55
}

# 19
{
  "formula": "IrOsCl2",
  "functional": "PBEsol",
  "state": "relaxed",
  "cell": [[1.385, -2.560, 0.000], [1.385, 2.560, 0.000], [0.000, 0.000, 8.430]],
  "species": ["Ir", "Os", "Cl", "Cl"],
  "frac_coords": [[0.000, 0.000, 0.000], [0.000, 0.000, 0.500], [0.500, 0.500, 0.263], [0.500, 0.500, 0.737]],
  "raw_formation_energy_ev_per_atom": 0.9275,
  "m_tot_mub_per_fu": 0.0,
  "spacegroup": "No. 65",
  "final_energy_ev_per_cell": -22.3,
  "volume_a3_per_fu": 60
}

# 20
{
  "formula": "FeTeBr2",
  "functional": "PBEsol",
  "state": "relaxed",
  "cell": [[3.342, 0.000, 0.000], [0.000, 4.644, 0.000], [0.000, 0.000, 6.012]],
  "species": ["Fe", "Te", "Br", "Br"],
  "frac_coords": [[0.000, 0.000, 0.000], [0.500, 0.000, 0.500], [0.000, 0.500, 0.500], [0.500, 0.500, 0.000]],
  "raw_formation_energy_ev_per_atom": 0.4625,
  "m_tot_mub_per_fu": 3.6,
  "spacegroup": "No. 47",
  "final_energy_ev_per_cell": -14.4,
  "volume_a3_per_fu": 93
}

# 21
{
  "formula": "Mg2Ag2Hg",
  "functional": "PBEsol",
  "state": "relaxed",
  "cell": [[-2.047, 2.047, 6.224], [2.047, -2.047, 6.224], [2.047, 2.047, -6.224]],
  "species": ["Mg", "Mg", "Ag", "Ag", "Hg"],
  "frac_coords": [[0.250, 0.750, 0.500], [0.750, 0.250, 0.500], [0.105, 0.105, 0.000], [0.895, 0.895, 0.000], [0.500, 0.500, 0.000]],
  "formation_enthalpy_0k_ev_per_atom": 0.0795,
  "m_tot_mub_per_fu": 0.0,
  "spacegroup": "No. 139",
  "final_energy_ev_per_cell": -10.2,
  "volume_a3_per_fu": 104
}

# 22
{
  "formula": "Zr2BiAs",
  "functional": "PBEsol",
  "state": "relaxed",
  "cell": [[-3.137, 3.137, 6.283], [3.137, -3.137, 6.283], [3.137, 3.137, -6.283]],
  "species": ["Zr", "Zr", "Zr", "Zr", "Bi", "Bi", "As", "As"],
  "frac_coords": [[0.085, 0.625, 0.960], [0.375, 0.335, 0.460], [0.665, 0.125, 0.040], [0.875, 0.915, 0.540], [0.250, 0.750, 0.500], [0.500, 0.500, 0.000], [0.000, 0.000, 0.000], [0.750, 0.250, 0.500]],
  "formation_enthalpy_0k_ev_per_atom": 0.0456,
  "m_tot_mub_per_fu": 0.0,
  "spacegroup": "No. 122",
  "final_energy_ev_per_cell": -54.8,
  "volume_a3_per_fu": 124
}

# 23
{
  "formula": "Co2SiHg",
  "functional": "PBEsol",
  "state": "relaxed",
  "cell": [[2.931, 0.000, 0.000], [0.000, 2.931, 0.000], [0.000, 0.000, 6.377]],
  "species": ["Co", "Co", "Si", "Hg"],
  "frac_coords": [[0.000, 0.000, 0.000], [0.500, 0.500, 0.217], [0.500, 0.500, 0.841], [0.000, 0.000, 0.493]],
  "raw_formation_energy_ev_per_atom": 0.1787,
  "m_tot_mub_per_fu": 2.3,
  "spacegroup": "No. 99",
  "final_energy_ev_per_cell": -21.1,
  "volume_a3_per_fu": 55
}